No. 1
{"formula": "YIn2Se", "functional": "PBE", "state": "optimized geometry", "lattice_angstrom": [[4.276, 0.000, 0.000], [0.000, 4.276, 0.000], [0.000, 0.000, 5.806]], "species": ["Y", "In", "In", "Se"], "fractional_positions": [[0.000, 0.000, 0.000], [0.500, 0.500, 0.254], [0.500, 0.500, 0.746], [0.000, 0.000, 0.500]]}


No. 2
{"formula": "Y6InSe3", "functional": "PBE", "state": "optimized geometry", "lattice_angstrom": [[11.943, 0.000, 0.000], [0.000, 3.950, 0.000], [-3.661, 0.000, 11.547]], "species": ["Y", "Y", "Y", "Y", "Y", "Y", "Y", "Y", "Y", "Y", "Y", "Y", "In", "In", "Se", "Se", "Se", "Se", "Se", "Se"], "fractional_positions": [[0.002, 0.250, 0.359], [0.119, 0.250, 0.931], [0.224, 0.750, 0.262], [0.298, 0.750, 0.748], [0.367, 0.250, 0.527], [0.420, 0.750, 0.093], [0.580, 0.250, 0.907], [0.633, 0.750, 0.473], [0.702, 0.250, 0.252], [0.776, 0.250, 0.738], [0.881, 0.750, 0.069], [0.998, 0.750, 0.641], [0.449, 0.250, 0.304], [0.551, 0.750, 0.696], [0.060, 0.250, 0.147], [0.168, 0.750, 0.492], [0.352, 0.250, 0.921], [0.648, 0.750, 0.079], [0.832, 0.250, 0.508], [0.940, 0.750, 0.853]]}


No. 3
{"formula": "Y2InSe4", "functional": "PBE", "state": "optimized geometry", "lattice_angstrom": [[7.651, -2.058, 0.000], [7.651, 2.058, 0.000], [-3.183, 0.000, 6.514]], "species": ["Y", "Y", "In", "Se", "Se", "Se", "Se"], "fractional_positions": [[0.233, 0.233, 0.220], [0.767, 0.767, 0.780], [0.500, 0.500, 0.500], [0.141, 0.141, 0.492], [0.373, 0.373, 0.050], [0.627, 0.627, 0.950], [0.859, 0.859, 0.508]]}


No. 4
{"formula": "YIn2Se", "functional": "PBE", "state": "optimized geometry", "lattice_angstrom": [[-4.256, 4.256, 2.993], [4.256, -4.256, 2.993], [4.256, 4.256, -2.993]], "species": ["Y", "Y", "In", "In", "In", "In", "Se", "Se"], "fractional_positions": [[0.000, 0.000, 0.000], [0.750, 0.250, 0.500], [0.148, 0.125, 0.523], [0.375, 0.852, 0.977], [0.602, 0.625, 0.477], [0.875, 0.398, 0.023], [0.250, 0.750, 0.500], [0.500, 0.500, 0.000]]}


No. 5
{"formula": "YIn2Se", "functional": "PBE", "state": "optimized geometry", "lattice_angstrom": [[1.928, 1.113, 8.921], [-1.928, 1.113, 8.921], [0.000, -2.226, 8.921]], "species": ["Y", "In", "In", "Se"], "fractional_positions": [[0.000, 0.000, 0.000], [0.243, 0.243, 0.243], [0.485, 0.485, 0.485], [0.730, 0.730, 0.730]]}


No. 6
{"formula": "Y2InSe2", "functional": "PBE", "state": "optimized geometry", "lattice_angstrom": [[8.250, 0.000, 0.000], [0.000, 8.250, 0.000], [0.000, 0.000, 3.594]], "species": ["Y", "Y", "Y", "Y", "In", "In", "Se", "Se", "Se", "Se"], "fractional_positions": [[0.157, 0.343, 0.000], [0.343, 0.843, 0.000], [0.657, 0.157, 0.000], [0.843, 0.657, 0.000], [0.000, 0.000, 0.500], [0.500, 0.500, 0.500], [0.139, 0.639, 0.500], [0.361, 0.139, 0.500], [0.639, 0.861, 0.500], [0.861, 0.361, 0.500]]}


No. 7
{"formula": "YIn2Se", "functional": "PBE", "state": "optimized geometry", "lattice_angstrom": [[-2.312, 2.312, 4.639], [2.312, -2.312, 4.639], [2.312, 2.312, -4.639]], "species": ["Y", "In", "In", "Se"], "fractional_positions": [[0.000, 0.000, 0.000], [0.250, 0.750, 0.500], [0.500, 0.500, 0.000], [0.750, 0.250, 0.500]]}


No. 8
{"formula": "Y3InSe", "functional": "PBE", "state": "optimized geometry", "lattice_angstrom": [[9.118, 0.000, 0.000], [0.000, 4.013, 0.000], [0.000, 0.000, 15.161]], "species": ["Y", "Y", "Y", "Y", "Y", "Y", "Y", "Y", "Y", "Y", "Y", "Y", "In", "In", "In", "In", "Se", "Se", "Se", "Se"], "fractional_positions": [[0.036, 0.250, 0.116], [0.160, 0.250, 0.516], [0.207, 0.750, 0.280], [0.293, 0.250, 0.780], [0.340, 0.750, 0.016], [0.464, 0.750, 0.616], [0.536, 0.250, 0.384], [0.660, 0.250, 0.984], [0.707, 0.750, 0.220], [0.793, 0.250, 0.720], [0.840, 0.750, 0.484], [0.964, 0.750, 0.884], [0.066, 0.750, 0.674], [0.434, 0.250, 0.174], [0.566, 0.750, 0.826], [0.934, 0.250, 0.326], [0.160, 0.250, 0.945], [0.340, 0.750, 0.445], [0.660, 0.250, 0.555], [0.840, 0.750, 0.055]]}


No. 9
{"formula": "YIn2Se", "functional": "PBE", "state": "optimized geometry", "lattice_angstrom": [[1.862, 1.075, 8.925], [-1.862, 1.075, 8.925], [0.000, -2.151, 8.925]], "species": ["Y", "In", "In", "Se"], "fractional_positions": [[0.000, 0.000, 0.000], [0.239, 0.239, 0.239], [0.761, 0.761, 0.761], [0.500, 0.500, 0.500]]}


No. 10
{"formula": "Y3InSe", "functional": "PBE", "state": "optimized geometry", "lattice_angstrom": [[9.253, 0.000, 0.000], [0.000, 6.643, 0.000], [-4.203, 0.000, 9.365]], "species": ["Y", "Y", "Y", "Y", "Y", "Y", "Y", "Y", "Y", "Y", "Y", "Y", "In", "In", "In", "In", "Se", "Se", "Se", "Se"], "fractional_positions": [[0.071, 0.087, 0.338], [0.071, 0.413, 0.838], [0.216, 0.581, 0.543], [0.216, 0.919, 0.043], [0.384, 0.122, 0.800], [0.384, 0.378, 0.300], [0.616, 0.622, 0.700], [0.616, 0.878, 0.200], [0.784, 0.081, 0.957], [0.784, 0.419, 0.457], [0.929, 0.587, 0.162], [0.929, 0.913, 0.662], [0.398, 0.658, 0.886], [0.398, 0.842, 0.386], [0.602, 0.158, 0.614], [0.602, 0.342, 0.114], [0.082, 0.235, 0.596], [0.082, 0.265, 0.096], [0.918, 0.735, 0.904], [0.918, 0.765, 0.404]]}


No. 11
{"formula": "Y2InSe2", "functional": "PBE", "state": "optimized geometry", "lattice_angstrom": [[8.211, 0.000, 0.000], [0.000, 8.211, 0.000], [0.000, 0.000, 3.711]], "species": ["Y", "Y", "Y", "Y", "In", "In", "Se", "Se", "Se", "Se"], "fractional_positions": [[0.158, 0.342, 0.000], [0.342, 0.842, 0.000], [0.658, 0.158, 0.000], [0.842, 0.658, 0.000], [0.000, 0.000, 0.000], [0.500, 0.500, 0.000], [0.140, 0.640, 0.500], [0.360, 0.140, 0.500], [0.640, 0.860, 0.500], [0.860, 0.360, 0.500]]}


No. 12
{"formula": "Y3ZrIn3Se8", "functional": "PBE", "state": "optimized geometry", "lattice_angstrom": [[4.074, 2.352, 7.747], [-4.074, 2.352, 7.747], [0.000, -4.705, 7.747]], "species": ["Y", "Y", "Y", "Zr", "In", "In", "In", "Se", "Se", "Se", "Se", "Se", "Se", "Se", "Se"], "fractional_positions": [[0.000, 0.500, 0.500], [0.500, 0.000, 0.500], [0.500, 0.500, 0.000], [0.000, 0.000, 0.000], [0.000, 0.000, 0.500], [0.000, 0.500, 0.000], [0.500, 0.000, 0.000], [0.227, 0.227, 0.750], [0.227, 0.750, 0.227], [0.250, 0.773, 0.773], [0.263, 0.263, 0.263], [0.737, 0.737, 0.737], [0.750, 0.227, 0.227], [0.773, 0.250, 0.773], [0.773, 0.773, 0.250]]}


no.,VASP energy (eV per atom),uncorrected formation energy (eV per atom),total magnetization (μB/f.u.)
1,-4.271,-0.414,0.00
2,-6.310,-1.112,0.84
3,-5.636,-1.406,0.00
4,-4.255,-0.398,0.00
5,-4.467,-0.611,0.00
6,-5.651,-1.124,0.00
7,-4.386,-0.530,0.00
8,-6.055,-0.932,0.56
9,-4.168,-0.312,0.28
10,-5.924,-0.801,0.00
11,-5.620,-1.093,0.00
12,-5.588,-1.319,0.00